La4Pr2SmSc | PBE | relaxed

Unit cell a=5.208 b=5.173 c=11.495 alpha=63.25 beta=90.00 gamma=90.00
Fractional coordinates of all 8 atoms:
La  0.000  0.756  0.744
La  0.000  0.244  0.256
La  0.500  0.745  0.255
La  0.500  0.255  0.745
Pr  0.000  0.000  0.000
Pr  0.500  0.000  0.500
Sm  0.500  0.500  0.000
Sc  0.000  0.500  0.500

Calculated values
Raw total energy, eV per cell: -40.11
Space group: Pmmm (47)
Total moment, Bohr magnetons per cell: 0.00
Energy of formation, eV per formula unit: 0.2



La5PrSm2Sc | PBE | relaxed

Unit cell a=7.572 b=9.180 c=9.180 alpha=90.00 beta=90.00 gamma=90.00
Fractional coordinates of all 18 atoms:
La  0.500  0.500  0.500
La  0.500  0.000  0.000
La  0.219  0.208  0.708
La  0.219  0.792  0.292
La  0.219  0.292  0.208
La  0.219  0.708  0.792
La  0.781  0.208  0.708
La  0.781  0.708  0.792
La  0.781  0.792  0.292
La  0.781  0.292  0.208
Pr  0.000  0.500  0.500
Pr  0.000  0.000  0.000
Sm  0.500  0.614  0.114
Sm  0.500  0.114  0.386
Sm  0.500  0.886  0.614
Sm  0.500  0.386  0.886
Sc  0.000  0.000  0.500
Sc  0.000  0.500  0.000

Calculated values
Raw total energy, eV per cell: -85.55
Space group: P4/mbm (127)
Total moment, Bohr magnetons per cell: 0.00
Energy of formation, eV per formula unit: 2.4



LaPr2Sm5Sc | PBE | relaxed

Unit cell a=8.810 b=8.810 c=10.063 alpha=115.96 beta=115.96 gamma=90.00
Fractional coordinates of all 18 atoms:
La  0.250  0.250  0.500
La  0.750  0.750  0.500
Pr  0.120  0.380  0.000
Pr  0.620  0.120  0.000
Pr  0.380  0.880  0.000
Pr  0.880  0.620  0.000
Sm  0.935  0.435  0.281
Sm  0.654  0.154  0.719
Sm  0.065  0.565  0.719
Sm  0.154  0.065  0.719
Sm  0.565  0.654  0.719
Sm  0.846  0.935  0.281
Sm  0.435  0.346  0.281
Sm  0.346  0.846  0.281
Sm  0.500  0.500  0.000
Sm  0.000  0.000  0.000
Sc  0.250  0.750  0.500
Sc  0.750  0.250  0.500

Calculated values
Raw total energy, eV per cell: -83.95
Space group: I4/mcm (140)
Total moment, Bohr magnetons per cell: 0.01
Energy of formation, eV per formula unit: 2.4



La4PrSm2Sc | PBE | relaxed

Unit cell a=6.069 b=6.072 c=9.714 alpha=51.31 beta=90.00 gamma=90.00
Fractional coordinates of all 8 atoms:
La  0.000  0.765  0.735
La  0.000  0.235  0.265
La  0.500  0.732  0.268
La  0.500  0.268  0.732
Pr  0.500  0.500  0.000
Sm  0.000  0.000  0.000
Sm  0.500  0.000  0.500
Sc  0.000  0.500  0.500

Calculated values
Raw total energy, eV per cell: -40.29
Space group: Pmmm (47)
Total moment, Bohr magnetons per cell: 0.00
Energy of formation, eV per formula unit: 0.0



La6PrSm2Sc | PBE | relaxed

Unit cell a=9.425 b=7.425 c=6.308 alpha=126.06 beta=81.93 gamma=90.00
Fractional coordinates of all 10 atoms:
La  0.371  0.631  0.263
La  0.266  0.141  0.731
La  0.734  0.410  0.269
La  0.266  0.590  0.731
La  0.734  0.859  0.269
La  0.629  0.369  0.737
Pr  0.500  0.000  0.000
Sm  0.053  0.156  0.312
Sm  0.947  0.844  0.688
Sc  0.000  0.500  0.000

Calculated values
Raw total energy, eV per cell: -48.17
Space group: C2/m (12)
Total moment, Bohr magnetons per cell: 0.00
Energy of formation, eV per formula unit: 1.9